Compound: Co3O
Source: OQMD
Functional: PBE with a Hubbard U
Structure: relaxed

Cell lengths 5.0090, 5.0090, 3.9842 Å; angles 90.00, 90.00, 120.00 degrees
With the nearest neighbours (Å) after each atom.
Positions (direct):
O  0.6667  0.3333  0.2500  12 Co 2.47-2.50
Co  0.6692  0.8346  0.2500  8 Co 2.46-2.52, 4 O 2.47-2.50
Co  0.1654  0.3308  0.2500  8 Co 2.46-2.52, 4 O 2.47-2.50
O  0.3333  0.6667  0.7500  12 Co 2.47-2.50
Co  0.8346  0.1654  0.7500  8 Co 2.46-2.52, 4 O 2.47-2.50
Co  0.1654  0.8346  0.2500  8 Co 2.46-2.52, 4 O 2.47-2.50
Co  0.8346  0.6692  0.7500  8 Co 2.46-2.52, 4 O 2.47-2.50
Co  0.3308  0.1654  0.7500  8 Co 2.46-2.52, 4 O 2.47-2.50

Properties
Energy relative to the lowest polymorph listed for this composition in meV per atom: 31.4
E in eV per atom: -4.658